Density functional theory data (GGA-PBE) for a geometry-optimized KTeSe2 structure.

Cell: 5.2162 5.2162 3.7696 Å, 90.00 90.00 90.37°
With the nearest neighbours (Å) after each atom.
Positions (direct):
K1 0.0000 0.5000 0.5000  8 Se 3.22
Se1 0.0000 0.0000 0.0000  4 K 3.22, 4 Te 3.22
Se2 0.5000 0.5000 0.0000  4 Te 3.22, 4 K 3.22
Te1 0.5000 0.0000 0.5000  8 Se 3.22

Computed properties:
Raw formation energy   -0.205 eV/atom


Density functional theory data (GGA-PBE) for a geometry-optimized KTeSe structure.

Cell: 6.6249 6.6249 6.6249 Å, 146.97 132.96 58.67°
With the nearest neighbours (Å) after each atom.
Positions (direct):
K1 0.9779 0.9779 0.0000  4 Se 3.36, 4 Te 3.64
Se1 0.4026 0.4026 0.0000  1 Te 2.51
Te1 0.6196 0.6196 0.0000  1 Se 2.51

Computed properties:
Raw formation energy   -0.524 eV/atom


Density functional theory data (GGA-PBE) for a geometry-optimized KTeSe structure.

Cell: 4.9853 6.6322 7.1767 Å, 88.64 91.09 82.32°
With the nearest neighbours (Å) after each atom.
Positions (direct):
K1 0.6854 0.3076 0.9296  4 Se 3.35-3.71, 2 Te 3.60-3.66
K2 0.2845 0.7946 0.4806  4 Se 3.35-3.71, 2 Te 3.60-3.66
Te1 0.7016 0.2249 0.4356  2 Se 2.70
Te2 0.2688 0.8774 0.9746  2 Se 2.70
Se1 0.7800 0.7930 0.8546  2 Te 2.70
Se2 0.1903 0.3092 0.5557  2 Te 2.70

Computed properties:
Raw formation energy   -0.602 eV/atom


Density functional theory data (GGA-PBE) for a geometry-optimized KTeSe2 structure.

Cell: 6.8982 6.8982 4.5830 Å, 89.97 89.97 34.80°
With the nearest neighbours (Å) after each atom.
Positions (direct):
K1 0.2710 0.2710 0.1250  4 Se 3.18-3.19
Te1 0.5223 0.5223 0.6249  1 Se 2.48
Se1 0.9962 0.9962 0.1251  4 Te 3.10
Se2 0.7104 0.7104 0.6250  1 Te 2.48

Computed properties:
Raw formation energy   -0.463 eV/atom


Density functional theory data (GGA-PBE) for a geometry-optimized KTeSe4 structure.

Cell: 5.9446 5.9446 5.9446 Å, 60.00 60.00 60.00°
With the nearest neighbours (Å) after each atom.
Positions (direct):
K1 0.0000 0.0000 0.0000  12 Se 3.49, 4 Te 3.64
Te1 0.7500 0.7500 0.7500  12 Se 3.48, 4 K 3.64
Se1 0.8701 0.3766 0.3766  6 Se 2.93-3.01
Se2 0.3766 0.3766 0.8701  6 Se 2.93-3.01
Se3 0.3766 0.8701 0.3766  6 Se 2.93-3.01
Se4 0.3766 0.3766 0.3766  6 Se 2.93-3.01

Computed properties:
Raw formation energy   0.153 eV/atom


Density functional theory data (GGA-PBE) for a geometry-optimized KTeSe3 structure.

Cell: 7.0918 7.0918 7.0918 Å, 74.64 74.64 74.64°
With the nearest neighbours (Å) after each atom.
Positions (direct):
K1 0.7529 0.7529 0.7529  9 Se 3.42-3.81, 1 Te 3.72
K2 0.2529 0.2529 0.2529  9 Se 3.42-3.81, 1 Te 3.72
Te1 0.9981 0.9981 0.9981  3 Se 2.55
Te2 0.4981 0.4981 0.4981  3 Se 2.55
Se1 0.1089 0.7923 0.3193  1 Te 2.55
Se2 0.3193 0.1089 0.7923  1 Te 2.55
Se3 0.7923 0.3193 0.1089  1 Te 2.55
Se4 0.6089 0.8193 0.2923  1 Te 2.55
Se5 0.8193 0.2923 0.6089  1 Te 2.55
Se6 0.2923 0.6089 0.8193  1 Te 2.55

Computed properties:
Raw formation energy   -0.251 eV/atom


Density functional theory data (GGA-PBE) for a geometry-optimized KTeSe2 structure.

Cell: 9.4063 9.4063 9.4063 Å, 27.23 27.23 27.23°
With the nearest neighbours (Å) after each atom.
Positions (direct):
K1 0.0000 0.0000 0.0000  2 Se 3.13
Te1 0.5000 0.5000 0.5000  6 Se 2.92
Se1 0.8849 0.8849 0.8849  3 Te 2.92, 1 K 3.13
Se2 0.1151 0.1151 0.1151  3 Te 2.92, 1 K 3.13

Computed properties:
Raw formation energy   -0.189 eV/atom


Density functional theory data (GGA-PBE) for a geometry-optimized KTeSe structure.

Cell: 5.2956 5.2956 5.2956 Å, 60.00 60.00 60.00°
With the nearest neighbours (Å) after each atom.
Positions (direct):
K1 0.7500 0.7500 0.7500  4 Te 3.24, 4 Se 3.24
Se1 0.0000 0.0000 0.0000  4 K 3.24
Te1 0.5000 0.5000 0.5000  4 K 3.24

Computed properties:
Raw formation energy   0.048 eV/atom


Density functional theory data (GGA-PBE) for a geometry-optimized KTeSe2 structure.

Cell: 6.0989 6.0989 6.0989 Å, 140.96 113.00 80.36°
With the nearest neighbours (Å) after each atom.
Positions (direct):
K1 0.2500 0.7500 0.5000  8 Se 3.45-3.85
Se1 0.9509 0.9509 0.0000  2 Te 2.77
Se2 0.5491 0.5491 0.0000  2 Te 2.77
Te1 0.7500 0.2500 0.5000  4 Se 2.77

Computed properties:
Raw formation energy   -0.431 eV/atom


Density functional theory data (GGA-PBE) for a geometry-optimized KTeSe2 structure.

Cell: 6.6545 6.6545 8.9096 Å, 68.07 68.07 90.00°
With the nearest neighbours (Å) after each atom.
Positions (direct):
K1 0.5000 0.5000 0.0000  4 Se 3.36
K2 0.2500 0.7500 0.5000  4 Se 3.36
Te1 0.0000 0.0000 0.0000  4 Se 2.75
Te2 0.7500 0.2500 0.5000  4 Se 2.75
Se1 0.7085 0.1250 0.2500  2 Te 2.75
Se2 0.0415 0.6250 0.2500  2 Te 2.75
Se3 0.3750 0.2915 0.7500  2 Te 2.75
Se4 0.8750 0.9585 0.7500  2 Te 2.75

Computed properties:
Raw formation energy   -0.366 eV/atom


Density functional theory data (GGA-PBE) for a geometry-optimized K3Te5Se12 structure.

Cell: 15.2351 15.2351 15.2351 Å, 109.47 109.47 109.47°
With the nearest neighbours (Å) after each atom.
Positions (direct):
K1 0.7500 0.3750 0.1250  8 Se 3.37-3.48
K2 0.8750 0.7500 0.1250  8 Se 3.37-3.48
K3 0.3750 0.7500 0.6250  8 Se 3.37-3.48
K4 0.2500 0.1250 0.3750  8 Se 3.37-3.48
K5 0.8750 0.1250 0.2500  8 Se 3.37-3.48
K6 0.3750 0.6250 0.2500  8 Se 3.37-3.48
K7 0.6250 0.3750 0.7500  8 Se 3.37-3.48
K8 0.1250 0.8750 0.7500  8 Se 3.37-3.48
K9 0.7500 0.8750 0.6250  8 Se 3.37-3.48
K10 0.6250 0.2500 0.3750  8 Se 3.37-3.48
K11 0.1250 0.2500 0.8750  8 Se 3.37-3.48
K12 0.2500 0.6250 0.8750  8 Se 3.37-3.48
Te1 0.1250 0.3750 0.2500  4 Se 2.69
Te2 0.0000 0.5000 0.0000  6 Se 2.80
Te3 0.0000 0.0000 0.0000  6 Se 2.80
Te4 0.3750 0.2500 0.1250  4 Se 2.69
Te5 0.5000 0.0000 0.5000  6 Se 2.80
Te6 0.5000 0.5000 0.0000  6 Se 2.80
Te7 0.1250 0.7500 0.3750  4 Se 2.69
Te8 0.7500 0.1250 0.8750  4 Se 2.69
Te9 0.7500 0.6250 0.3750  4 Se 2.69
Te10 0.3750 0.1250 0.7500  4 Se 2.69
Te11 0.6250 0.8750 0.2500  4 Se 2.69
Te12 0.5000 0.5000 0.5000  6 Se 2.80
Te13 0.5000 0.0000 0.0000  6 Se 2.80
Te14 0.0000 0.0000 0.5000  6 Se 2.80
Te15 0.2500 0.3750 0.6250  4 Se 2.69
Te16 0.2500 0.8750 0.1250  4 Se 2.69
Te17 0.0000 0.5000 0.5000  6 Se 2.80
Te18 0.8750 0.2500 0.6250  4 Se 2.69
Te19 0.6250 0.7500 0.8750  4 Se 2.69
Te20 0.8750 0.6250 0.7500  4 Se 2.69
Se1 0.7025 0.1203 0.0287  2 Te 2.69-2.80
Se2 0.3262 0.5287 0.4084  2 Te 2.69-2.80
Se3 0.9713 0.3797 0.2975  2 Te 2.69-2.80
Se4 0.5287 0.2025 0.1203  2 Te 2.69-2.80
Se5 0.5822 0.7025 0.6738  2 Te 2.69-2.80
Se6 0.9713 0.5916 0.1738  2 Te 2.69-2.80
Se7 0.3262 0.7975 0.4178  2 Te 2.69-2.80
Se8 0.0916 0.9178 0.1203  2 Te 2.69-2.80
Se9 0.5916 0.9713 0.6738  2 Te 2.69-2.80
Se10 0.7025 0.5822 0.1738  2 Te 2.69-2.80
Se11 0.7975 0.4713 0.3797  2 Te 2.69-2.80
Se12 0.8262 0.9084 0.0287  2 Te 2.69-2.80
Se13 0.1203 0.7025 0.5287  2 Te 2.69-2.80
Se14 0.3797 0.4084 0.0822  2 Te 2.69-2.80
Se15 0.0822 0.9084 0.3797  2 Te 2.69-2.80
Se16 0.4178 0.1203 0.5916  2 Te 2.69-2.80
Se17 0.0822 0.1738 0.2025  2 Te 2.69-2.80
Se18 0.4713 0.6738 0.0916  2 Te 2.69-2.80
Se19 0.8262 0.9178 0.2975  2 Te 2.69-2.80
Se20 0.1203 0.4178 0.0916  2 Te 2.69-2.80
Se21 0.3797 0.9713 0.7975  2 Te 2.69-2.80
Se22 0.5916 0.6203 0.4178  2 Te 2.69-2.80
Se23 0.9084 0.8262 0.5287  2 Te 2.69-2.80
Se24 0.7975 0.3262 0.9178  2 Te 2.69-2.80
Se25 0.4084 0.3797 0.5822  2 Te 2.69-2.80
Se26 0.0916 0.1738 0.4713  2 Te 2.69-2.80
Se27 0.2025 0.6738 0.0822  2 Te 2.69-2.80
Se28 0.1738 0.0822 0.7025  2 Te 2.69-2.80
Se29 0.6203 0.0287 0.2025  2 Te 2.69-2.80
Se30 0.8797 0.5822 0.9084  2 Te 2.69-2.80
Se31 0.5287 0.3262 0.9084  2 Te 2.69-2.80
Se32 0.5822 0.8797 0.4084  2 Te 2.69-2.80
Se33 0.9178 0.8262 0.7975  2 Te 2.69-2.80
Se34 0.9178 0.0916 0.6203  2 Te 2.69-2.80
Se35 0.8797 0.2975 0.4713  2 Te 2.69-2.80
Se36 0.1738 0.0916 0.9713  2 Te 2.69-2.80
Se37 0.6203 0.5916 0.9178  2 Te 2.69-2.80
Se38 0.4084 0.0287 0.3262  2 Te 2.69-2.80
Se39 0.2975 0.4178 0.8262  2 Te 2.69-2.80
Se40 0.2025 0.5287 0.6203  2 Te 2.69-2.80
Se41 0.9084 0.0822 0.8797  2 Te 2.69-2.80
Se42 0.6738 0.2025 0.5822  2 Te 2.69-2.80
Se43 0.4713 0.7975 0.8797  2 Te 2.69-2.80
Se44 0.0287 0.4084 0.8262  2 Te 2.69-2.80
Se45 0.4178 0.2975 0.3262  2 Te 2.69-2.80
Se46 0.0287 0.6203 0.7025  2 Te 2.69-2.80
Se47 0.6738 0.4713 0.5916  2 Te 2.69-2.80
Se48 0.2975 0.8797 0.9713  2 Te 2.69-2.80

Computed properties:
Raw formation energy   -0.183 eV/atom


Density functional theory data (GGA-PBE) for a geometry-optimized KTeSe2 structure.

Cell: 4.3649 4.3633 6.9287 Å, 90.00 90.00 90.00°
With the nearest neighbours (Å) after each atom.
Positions (direct):
K1 0.5000 0.5000 0.8572  6 Se 3.17-3.51
Te1 0.0000 0.0000 0.3189  1 Se 2.48
Se1 0.0000 0.0000 0.9605  1 Te 2.48
Se2 0.5000 0.5000 0.3635  4 Te 3.10, 1 K 3.42

Computed properties:
Raw formation energy   -0.464 eV/atom


Density functional theory data (GGA-PBE) for a geometry-optimized KTeSe2 structure.

Cell: 4.4556 4.4556 7.8620 Å, 73.54 73.54 60.00°
With the nearest neighbours (Å) after each atom.
Positions (direct):
K1 0.4983 0.4983 0.5052  6 Se 3.41-3.48, 1 Te 3.77
Te1 0.6674 0.6674 0.9978  6 Se 2.94
Se1 0.0643 0.0643 0.8072  3 Te 2.94
Se2 0.2701 0.2701 0.1897  3 Te 2.94

Computed properties:
Raw formation energy   -0.393 eV/atom


Density functional theory data (GGA-PBE) for a geometry-optimized KTeSe structure.

Cell: 3.3525 3.3525 9.6392 Å, 90.00 90.00 120.00°
With the nearest neighbours (Å) after each atom.
Positions (direct):
K1 0.0000 0.0000 0.0135  3 Se 3.23, 6 K 3.35, 3 Te 3.55
Se1 0.6667 0.3333 0.2814  3 K 3.23, 6 Se 3.35
Te1 0.3333 0.6667 0.7051  6 Te 3.35, 3 K 3.55

Computed properties:
Raw formation energy   -0.005 eV/atom


Density functional theory data (GGA-PBE) for a geometry-optimized KTeSe2 structure.

Cell: 5.1109 6.0148 9.9477 Å, 100.35 100.79 91.46°
With the nearest neighbours (Å) after each atom.
Positions (direct):
K1 0.3726 0.3611 0.8382  6 Se 3.31-3.59
K2 0.2109 0.1162 0.4070  5 Se 3.29-3.47
Te1 0.9379 0.9662 0.9814  2 Se 2.58-2.59
Te2 0.7798 0.6632 0.5612  3 Se 2.56-2.78
Se1 0.7882 0.2653 0.6183  1 Te 2.56
Se2 0.8570 0.3433 0.1354  1 Se 2.55, 1 Te 2.59
Se3 0.3159 0.7843 0.6561  2 Te 2.76-2.78
Se4 0.1629 0.6781 0.1226  1 Se 2.55, 1 Te 2.58

Computed properties:
Raw formation energy   -0.486 eV/atom


Density functional theory data (GGA-PBE) for a geometry-optimized KTeSe2 structure.

Cell: 6.0224 6.0224 8.7627 Å, 90.00 90.00 140.49°
With the nearest neighbours (Å) after each atom.
Positions (direct):
K1 0.5000 0.5000 0.7500  4 Se 3.23
Se1 0.0000 0.0000 0.0364  2 Te 2.77
Se2 0.0000 0.0000 0.4636  2 Te 2.77
Te1 0.5000 0.5000 0.2500  4 Se 2.77

Computed properties:
Raw formation energy   -0.350 eV/atom


Density functional theory data (GGA-PBE) for a geometry-optimized K3Te2Se4 structure.

Cell: 10.0738 10.4047 10.4047 Å, 43.36 112.14 112.14°
With the nearest neighbours (Å) after each atom.
Positions (direct):
K1 0.9401 0.0220 0.2428  5 Se 3.31-3.59
K2 0.5599 0.7572 0.9780  5 Se 3.31-3.59
K3 0.0599 0.9780 0.7572  5 Se 3.31-3.59
K4 0.4401 0.2428 0.0220  5 Se 3.31-3.59
K5 0.2500 0.5637 0.4363  4 Se 3.29-3.50
K6 0.7500 0.4363 0.5637  4 Se 3.29-3.50
Te1 0.3527 0.1554 0.4816  2 Se 2.56-2.62
Te2 0.1473 0.5184 0.8446  2 Se 2.56-2.62
Te3 0.6473 0.8446 0.5184  2 Se 2.56-2.62
Te4 0.8527 0.4816 0.1554  2 Se 2.56-2.62
Se1 0.5681 0.8631 0.2416  1 Te 2.56
Se2 0.9319 0.7584 0.1369  1 Te 2.56
Se3 0.4319 0.1369 0.7584  1 Te 2.56
Se4 0.0681 0.2416 0.8631  1 Te 2.56
Se5 0.0889 0.3436 0.2854  1 Te 2.62
Se6 0.4111 0.7146 0.6564  1 Te 2.62
Se7 0.9111 0.6564 0.7146  1 Te 2.62
Se8 0.5889 0.2854 0.3436  1 Te 2.62

Computed properties:
Raw formation energy   -0.639 eV/atom


Density functional theory data (GGA-PBE) for a geometry-optimized KTeSe2 structure.

Cell: 6.1824 6.1824 6.1824 Å, 143.13 121.91 70.81°
With the nearest neighbours (Å) after each atom.
Positions (direct):
K1 0.2459 0.7459 0.5000  4 Te 3.56-3.68, 8 Se 3.58-3.64, 2 K 3.91
Se1 0.9414 0.9414 0.0000  2 Se 2.69
Se2 0.7575 0.2575 0.5000  2 Se 2.69, 2 Te 2.82
Te1 0.5552 0.5552 0.0000  2 Se 2.82

Computed properties:
Raw formation energy   -0.338 eV/atom


Density functional theory data (GGA-PBE) for a geometry-optimized KTeSe3 structure.

Cell: 5.4608 5.4608 5.4608 Å, 90.00 90.00 90.00°
With the nearest neighbours (Å) after each atom.
Positions (direct):
K1 0.5000 0.5000 0.5000  12 Se 3.86
Te1 0.0000 0.0000 0.0000  6 Se 2.73
Se1 0.0000 0.5000 0.0000  2 Te 2.73
Se2 0.0000 0.0000 0.5000  2 Te 2.73
Se3 0.5000 0.0000 0.0000  2 Te 2.73

Computed properties:
Raw formation energy   -0.196 eV/atom


Density functional theory data (GGA-PBE) for a geometry-optimized KTeSe2 structure.

Cell: 5.3840 5.3840 5.3840 Å, 60.00 60.00 60.00°
With the nearest neighbours (Å) after each atom.
Positions (direct):
K1 0.5000 0.5000 0.5000  4 Se 3.30, 4 Te 3.30
Se1 0.0000 0.0000 0.0000  4 Te 3.30, 4 Se 3.30
Se2 0.2500 0.2500 0.2500  4 Se 3.30, 4 K 3.30
Te1 0.7500 0.7500 0.7500  4 Se 3.30, 4 K 3.30

Computed properties:
Raw formation energy   0.156 eV/atom


Density functional theory data (GGA-PBE) for a geometry-optimized KTeSe4 structure.

Cell: 5.5685 5.5684 6.7033 Å, 89.20 89.20 63.57°
With the nearest neighbours (Å) after each atom.
Positions (direct):
K1 0.5000 0.5000 0.5000  6 Se 3.17-3.47
Te1 0.0000 0.0000 0.0000  2 Se 2.78
Se1 0.6252 0.6252 0.0109  1 Se 2.38
Se2 0.3748 0.3748 0.9891  1 Se 2.38
Se3 0.1003 0.1002 0.6075  1 Se 2.40
Se4 0.8997 0.8998 0.3925  1 Se 2.40

Computed properties:
Raw formation energy   -0.213 eV/atom


Density functional theory data (GGA-PBE) for a geometry-optimized KTeSe structure.

Cell: 9.3112 9.3110 3.1541 Å, 80.25 80.25 19.50°
With the nearest neighbours (Å) after each atom.
Positions (direct):
K1 0.0086 0.0086 0.9914  4 K 3.15, 4 Se 3.29
Se1 0.6422 0.6422 0.3578  4 Se 3.15, 4 K 3.29
Te1 0.3493 0.3493 0.6507  4 Te 3.15

Computed properties:
Raw formation energy   -0.237 eV/atom


Density functional theory data (GGA-PBE) for a geometry-optimized KTeSe structure.

Cell: 5.8298 5.8298 2.9851 Å, 90.00 90.00 120.00°
With the nearest neighbours (Å) after each atom.
Positions (direct):
K1 0.0000 0.0000 0.9999  2 K 2.99
Se1 0.6667 0.3333 0.5001  2 Se 2.99
Te1 0.3333 0.6667 0.5000  2 Te 2.99

Computed properties:
Raw formation energy   -0.294 eV/atom


Density functional theory data (GGA-PBE) for a geometry-optimized KTeSe structure.

Cell: 6.8921 5.1392 8.5712 Å, 107.45 113.71 90.00°
With the nearest neighbours (Å) after each atom.
Positions (direct):
K1 0.6459 0.1459 0.2919  1 Se 3.28
K2 0.3541 0.8541 0.7081  1 Se 3.28
Te1 0.7197 0.5000 0.0000  2 Se 2.76, 1 Te 3.03
Te2 0.2803 0.5000 0.0000  2 Se 2.76, 1 Te 3.03
Se1 0.1328 0.6328 0.2656  2 Te 2.76
Se2 0.8672 0.3672 0.7344  2 Te 2.76

Computed properties:
Raw formation energy   -0.371 eV/atom